1.
The following is a DFT calculation (PBE with a Hubbard U) of crystalline CsCr2BiF8 at its relaxed geometry.

Output
Size of the total moment: 8.00 μB per formula unit
Space-group type: P-1

Cell lengths 4.834, 5.307, 9.307 Å; angles 96.51, 91.20, 93.88 degrees
Sites, in units of the cell vectors:
Cs1 0.000 0.000 0.000
Cr1 0.480 0.490 0.303
Cr2 0.520 0.510 0.697
Bi1 0.000 0.000 0.500
F1 0.148 0.248 0.329
F2 0.189 0.254 0.698
F3 0.360 0.729 0.480
F4 0.441 0.707 0.875
F5 0.559 0.293 0.125
F6 0.640 0.271 0.520
F7 0.811 0.746 0.302
F8 0.852 0.752 0.671


2.
The following is a DFT calculation (PBE with a Hubbard U) of crystalline Cs2CrBiF6 at its relaxed geometry.

Output
Size of the total moment: 5.00 μB per formula unit
Space-group type: Pmmn

Cell lengths 6.368, 10.440, 6.372 Å; angles 90.00, 90.00, 90.00 degrees
Sites, in units of the cell vectors:
Cs1 0.250 0.000 0.250
Cs2 0.250 0.500 0.250
Cs3 0.750 0.000 0.750
Cs4 0.750 0.500 0.750
Cr1 0.250 0.250 0.749
Cr2 0.750 0.750 0.251
Bi1 0.250 0.750 0.751
Bi2 0.750 0.250 0.249
F1 0.005 0.250 0.504
F2 0.005 0.250 0.993
F3 0.250 0.059 0.749
F4 0.250 0.441 0.749
F5 0.495 0.250 0.504
F6 0.495 0.250 0.993
F7 0.505 0.750 0.007
F8 0.505 0.750 0.496
F9 0.750 0.559 0.251
F10 0.750 0.941 0.251
F11 0.995 0.750 0.007
F12 0.995 0.750 0.496


Across the entries above, total DFT energy (no corrections) takes the values -5.4276, -4.8718 eV/atom, respectively.